VASP calculation (GGA-PBEsol) on TlCoPt after structural relaxation.

Geometry as POSCAR:
```
TlCoPt
1.0
2.876 0.000 0.000
0.000 4.377 0.000
0.000 -2.188 3.790
Tl Pt Co
1 1 1
Direct
0.293 0.667 0.333
0.679 0.333 0.667
0.028 0.000 0.000
```

Summary:
- space group = P3m1, No. 156
- Fermi-level density of states (states/eV/f.u.) = 5.53
- energy (eV per atom) = -5.37